[1]
Here is a relaxed structure of LaNiBr2 from the Alexandria database. Energies are from PBE.

ρ, Mg/m³: 5.19
Calculated volume, Å³/cell: 114
Density of states at the Fermi level, states/eV per cell: 2.4
Total energy, eV/atom: -4.257
Polymorph energy (0 for the lowest one), eV/f.u.: 0.69
Energy relative to the elements, uncorrected, kJ/mol of formula units: -287

Unit cell a=3.767 b=3.767 c=8.059 alpha=90.00 beta=90.00 gamma=90.00
Sites, in units of the cell vectors:
1 Br 0.000 0.000 0.901
2 Br 0.500 0.500 0.324
3 La 0.000 0.000 0.554
4 Ni 0.500 0.500 0.720

[2]
Here is a relaxed structure of CaCe2HfAs4 from the Alexandria database. Energies are from PBE.

ρ, Mg/m³: 6.77
Calculated volume, Å³/cell: 196
Density of states at the Fermi level, states/eV per cell: 10.6
Energy relative to the elements, meV per atom: -1256.1
Total energy, eV/atom: -6.559

Unit cell a=4.108 b=7.187 c=7.036 alpha=109.44 beta=90.00 gamma=90.00
Sites, in units of the cell vectors:
1 Ce 0.000 0.500 0.500
2 Ce 0.500 0.000 0.500
3 Ca 0.500 0.500 0.000
4 As 0.500 0.232 0.233
5 As 0.000 0.237 0.758
6 As 0.500 0.768 0.767
7 As 0.000 0.763 0.242
8 Hf 0.000 0.000 0.000

[3]
Here is a relaxed structure of TbNi22B6 from the Alexandria database. Energies are from PBE.

ρ, Mg/m³: 8.49
Calculated volume, Å³/cell: 296
Density of states at the Fermi level, states/eV per cell: 28.0
Energy relative to the elements, meV per atom: -193.5
Total energy, eV/atom: -6.121

Unit cell a=7.483 b=7.483 c=7.483 alpha=60.00 beta=60.00 gamma=60.00
Sites, in units of the cell vectors:
1 B 0.272 0.728 0.728
2 B 0.272 0.728 0.272
3 B 0.272 0.272 0.728
4 B 0.728 0.728 0.272
5 B 0.728 0.272 0.728
6 B 0.728 0.272 0.272
7 Ni 0.383 0.852 0.383
8 Ni 0.346 0.000 0.000
9 Ni 0.250 0.250 0.250
10 Ni 0.148 0.617 0.617
11 Ni 0.617 0.617 0.148
12 Ni 0.654 0.000 0.000
13 Ni 0.000 0.000 0.346
14 Ni 0.000 0.654 0.000
15 Ni 0.383 0.383 0.383
16 Ni 0.750 0.750 0.750
17 Ni 0.654 0.000 0.346
18 Ni 0.000 0.654 0.346
19 Ni 0.000 0.346 0.000
20 Ni 0.346 0.654 0.000
21 Ni 0.000 0.346 0.654
22 Ni 0.852 0.383 0.383
23 Ni 0.617 0.617 0.617
24 Ni 0.654 0.346 0.000
25 Ni 0.346 0.000 0.654
26 Ni 0.000 0.000 0.654
27 Ni 0.617 0.148 0.617
28 Ni 0.383 0.383 0.852
29 Tb 0.000 0.000 0.000

[4]
Here is a relaxed structure of CaCdBi from the Alexandria database. Energies are from PBE.

ρ, Mg/m³: 6.75
Calculated volume, Å³/cell: 89
Density of states at the Fermi level, states/eV per cell: 1.6
Energy relative to the elements, meV per atom: -357.9
Total energy, eV/atom: -2.624
Polymorph energy (0 for the lowest one), eV/f.u.: 0.43

Unit cell a=4.071 b=4.071 c=6.089 alpha=109.53 beta=109.53 gamma=90.00
Sites, in units of the cell vectors:
1 Bi 0.939 0.939 0.878
2 Cd 0.293 0.293 0.586
3 Ca 0.618 0.618 0.236

[5]
Here is a relaxed structure of Er5Si2Ge5 from the Alexandria database. Energies are from PBE.

ρ, Mg/m³: 8.20
Calculated volume, Å³/cell: 254
Density of states at the Fermi level, states/eV per cell: 5.0
Total energy, eV/atom: -5.399
Energy relative to the elements, uncorrected, kJ/mol of formula units: -776

Unit cell a=4.066 b=7.555 c=8.837 alpha=88.15 beta=76.70 gamma=74.39
Sites, in units of the cell vectors:
1 Ge 0.056 0.701 0.188
2 Ge 0.722 0.215 0.341
3 Ge 0.278 0.785 0.659
4 Ge 0.944 0.299 0.812
5 Ge 0.000 0.000 0.000
6 Si 0.617 0.523 0.242
7 Si 0.383 0.477 0.758
8 Er 0.633 0.075 0.660
9 Er 0.367 0.925 0.340
10 Er 0.315 0.300 0.070
11 Er 0.685 0.700 0.930
12 Er 0.000 0.500 0.500

[6]
Here is a relaxed structure of Li2Ga2Ni5 from the Alexandria database. Energies are from PBE.

ρ, Mg/m³: 7.01
Calculated volume, Å³/cell: 106
Density of states at the Fermi level, states/eV per cell: 7.7
Energy relative to the elements, meV per atom: -209.8
Total energy, eV/atom: -4.520

Unit cell a=4.120 b=4.609 c=6.330 alpha=99.12 beta=90.00 gamma=116.55
Sites, in units of the cell vectors:
1 Ga 0.129 0.258 0.689
2 Ga 0.871 0.742 0.311
3 Li 0.446 0.892 0.672
4 Li 0.554 0.108 0.328
5 Ni 0.789 0.578 0.659
6 Ni 0.336 0.672 0.015
7 Ni 0.211 0.422 0.341
8 Ni 0.664 0.328 0.985
9 Ni 0.000 0.000 0.000

[7]
Here is a relaxed structure of YHfTl2 from the Alexandria database. Energies are from PBE.

ρ, Mg/m³: 9.68
Calculated volume, Å³/cell: 232
Density of states at the Fermi level, states/eV per cell: 10.8
Energy relative to the elements, meV per atom: 403.0
Total energy, eV/atom: -4.884
Polymorph energy (0 for the lowest one), eV/f.u.: 1.94

Unit cell a=4.678 b=4.678 c=11.110 alpha=77.85 beta=77.85 gamma=90.00
Sites, in units of the cell vectors:
1 Tl 0.100 0.625 0.250
2 Tl 0.875 0.900 0.750
3 Tl 0.650 0.125 0.250
4 Tl 0.375 0.350 0.750
5 Y 0.250 0.750 0.500
6 Y 0.500 0.500 0.000
7 Hf 0.750 0.250 0.500
8 Hf 0.000 0.000 0.000

[8]
Here is a relaxed structure of SrSb2C2 from the Alexandria database. Energies are from PBE.

ρ, Mg/m³: 5.46
Calculated volume, Å³/cell: 216
Density of states at the Fermi level, states/eV per cell: 3.0
Total energy, eV/atom: -5.309
Polymorph energy (0 for the lowest one), eV/f.u.: 0.00
Energy relative to the elements, uncorrected, kJ/mol of formula units: 176

Unit cell a=6.605 b=6.605 c=4.954 alpha=90.00 beta=90.00 gamma=90.00
Sites, in units of the cell vectors:
1 C 0.930 0.570 0.000
2 C 0.430 0.930 0.000
3 C 0.070 0.430 0.000
4 C 0.570 0.070 0.000
5 Sr 0.000 0.000 0.000
6 Sr 0.500 0.500 0.000
7 Sb 0.653 0.153 0.500
8 Sb 0.347 0.847 0.500
9 Sb 0.153 0.347 0.500
10 Sb 0.847 0.653 0.500